Compound: ZrTeNO
Source: OQMD
Functional: PBE
Structure: relaxed

```
8
Lattice="4.1552 0.0000 0.0000 0.0000 4.1552 0.0000 0.0000 0.0000 8.9644" Properties=species:S:1:pos:R:3 pbc="T T T"
Zr 1.0388 1.0388 0.7727
Zr 3.1164 3.1164 8.1917
Te 1.0388 3.1164 4.4822
Te 3.1164 1.0388 4.4822
N 1.0388 1.0388 2.6555
N 3.1164 3.1164 6.3089
O 1.0388 3.1164 0.0000
O 3.1164 1.0388 0.0000
```

Results
SG ... P4/nmm (129)
E_tot ... -7.028 eV/atom
Energy above the lowest structure with this stoichiometry ... 520 meV/atom

Compound: TaNbGe2As2
Source: OQMD
Functional: PBE
Structure: relaxed

```
6
Lattice="3.6059 0.0000 0.0000 0.0000 3.6059 0.0000 0.0000 0.0000 7.9744" Properties=species:S:1:pos:R:3 pbc="T T T"
Ta 0.0000 0.0000 0.0000
Nb 1.8030 1.8030 4.1688
Ge 0.0000 1.8030 2.0817
Ge 1.8030 0.0000 2.0817
As 0.0000 0.0000 5.1984
As 1.8030 1.8030 6.9560
```

Results
SG ... P4mm (99)
E_tot ... -7.145 eV/atom

Compound: Nb2FeB
Source: OQMD
Functional: PBE
Structure: relaxed

```
8
Lattice="3.1351 0.0000 0.0000 -1.5676 2.7151 0.0000 0.0000 0.0000 12.9756" Properties=species:S:1:pos:R:3 pbc="T T T"
Nb 0.0000 1.8101 1.3571
Nb 0.0000 1.8101 5.1307
Nb 1.5676 0.9050 7.8449
Nb 1.5676 0.9050 11.6185
Fe 0.0000 1.8101 9.7317
Fe 1.5676 0.9050 3.2439
B 0.0000 0.0000 0.0000
B 0.0000 0.0000 6.4878
```

Results
SG ... P6_3/mmc (194)
E_tot ... -8.881 eV/atom

Compound: GeW2
Source: OQMD
Functional: PBE
Structure: relaxed

```
6
Lattice="-3.0394 3.0394 2.5261 3.0394 -3.0394 2.5261 3.0394 3.0394 -2.5261" Properties=species:S:1:pos:R:3 pbc="T T T"
Ge 0.0000 0.0000 1.2631
Ge 0.0000 0.0000 3.7892
W 3.9676 0.9283 0.0000
W 0.9283 2.1111 0.0000
W 2.1111 0.9283 2.5261
W -0.9283 2.1111 2.5261
```

Results
SG ... I4/mcm (140)
E_tot ... -9.873 eV/atom
Energy above the lowest structure with this stoichiometry ... 0 meV/atom

Compound: Cd2AsPd2
Source: OQMD
Functional: PBE
Structure: relaxed

```
10
Lattice="8.8253 0.0000 0.0000 0.0000 8.8253 0.0000 0.0000 0.0000 2.7688" Properties=species:S:1:pos:R:3 pbc="T T T"
Cd 1.1129 3.2998 0.0000
Cd 3.2998 7.7125 0.0000
Cd 5.5255 1.1129 0.0000
Cd 7.7125 5.5255 0.0000
As 0.0000 0.0000 1.3844
As 4.4127 4.4127 1.3844
Pd 1.4907 5.9033 0.0000
Pd 2.9220 1.4907 0.0000
Pd 5.9033 7.3347 0.0000
Pd 7.3347 2.9220 0.0000
```

Results
SG ... P4/mbm (127)
E_tot ... -3.039 eV/atom

Compound: PmF2
Source: OQMD
Functional: PBE
Structure: relaxed

```
6
Lattice="0.0000 4.9409 4.9409 4.9409 0.0000 4.9409 4.9409 4.9409 0.0000" Properties=species:S:1:pos:R:3 pbc="T T T"
Pm 1.2352 1.2352 1.2352
Pm 8.6466 8.6466 8.6466
F 0.0000 0.0000 0.0000
F 2.4705 2.4705 0.0000
F 2.4705 0.0000 2.4705
F 0.0000 2.4705 2.4705
```

Results
SG ... Fd-3m (227)
E_tot ... -5.808 eV/atom
Energy above the lowest structure with this stoichiometry ... 332 meV/atom

Compound: LiMgCd
Source: OQMD
Functional: PBE
Structure: relaxed

```
6
Lattice="4.8396 0.0000 0.0000 0.0000 4.6487 2.6260 0.0000 -4.6487 2.6260" Properties=species:S:1:pos:R:3 pbc="T T T"
Li 0.0000 -3.0401 2.6260
Li 0.0000 3.0401 2.6260
Mg 0.0000 0.0000 2.6997
Mg 2.4198 0.0000 0.8026
Cd 2.4198 -1.5917 3.4967
Cd 2.4198 1.5917 3.4967
```

Results
SG ... Amm2 (38)
E_tot ... -1.589 eV/atom
Energy above the lowest structure with this stoichiometry ... 53 meV/atom

Compound: KTm4HgC2
Source: OQMD
Functional: PBE
Structure: relaxed

```
8
Lattice="3.5786 0.0000 0.0000 -1.7893 3.0992 0.0000 0.0000 0.0000 17.8249" Properties=species:S:1:pos:R:3 pbc="T T T"
K 0.0000 0.0000 0.0000
Tm 0.0000 0.0000 6.4418
Tm 0.0000 0.0000 11.3831
Tm 0.0000 2.0661 3.8130
Tm 0.0000 2.0661 14.0119
Hg 0.0000 2.0661 8.9124
C 1.7893 1.0331 4.9988
C 1.7893 1.0331 12.8261
```

Results
SG ... P-6m2 (187)
E_tot ... -4.975 eV/atom

Compound: ErNpTa
Source: OQMD
Functional: PBE
Structure: relaxed

```
3
Lattice="0.0000 3.3383 3.3383 3.3383 0.0000 3.3383 3.3383 3.3383 0.0000" Properties=species:S:1:pos:R:3 pbc="T T T"
Er 0.0000 0.0000 0.0000
Np 5.0075 5.0075 5.0075
Ta 1.6692 1.6692 1.6692
```

Results
SG ... F-43m (216)
Formation enthalpy at 0 K ... 1521 meV/atom
E_tot ... -8.208 eV/atom

Compound: ErMg2Hg
Source: OQMD
Functional: PBE
Structure: relaxed

```
8
Lattice="3.1347 -5.8850 0.0000 3.1347 5.8850 0.0000 0.0000 0.0000 4.9929" Properties=species:S:1:pos:R:3 pbc="T T T"
Er 3.1347 3.6868 3.7447
Er 3.1347 -3.6868 1.2482
Mg 1.5714 0.8172 3.7447
Mg 1.5714 -0.8172 1.2482
Mg 4.6981 0.8172 3.7447
Mg 4.6981 -0.8172 1.2482
Hg 3.1347 1.8953 1.2482
Hg 3.1347 -1.8953 3.7447
```

Results
SG ... Cmcm (63)
E_tot ... -2.252 eV/atom
Energy above the lowest structure with this stoichiometry ... 0 meV/atom

Compound: YBeTlCu
Source: OQMD
Functional: PBE
Structure: relaxed

```
4
Lattice="0.0000 3.2994 3.2994 3.2994 0.0000 3.2994 3.2994 3.2994 0.0000" Properties=species:S:1:pos:R:3 pbc="T T T"
Y 0.0000 0.0000 0.0000
Be 1.6497 1.6497 1.6497
Tl 3.2994 3.2994 3.2994
Cu 4.9492 4.9492 4.9492
```

Results
SG ... F-43m (216)
E_tot ... -4.043 eV/atom
Energy above the lowest structure with this stoichiometry ... 0 meV/atom

Compound: NdGaAsO
Source: OQMD
Functional: PBE
Structure: relaxed

```
8
Lattice="4.7604 0.0000 0.0000 0.0000 6.1263 0.0000 0.0000 0.0000 5.9745" Properties=species:S:1:pos:R:3 pbc="T T T"
Nd 0.0000 1.5049 0.0000
Nd 0.0000 4.6214 2.9872
Ga 2.3802 0.9444 3.5502
Ga 2.3802 5.1819 0.5629
As 0.0000 1.6058 3.0025
As 0.0000 4.5205 0.0153
O 2.3802 0.9497 5.7267
O 2.3802 5.1766 2.7395
```

Results
SG ... Pmc2_1 (26)
E_tot ... -5.769 eV/atom
Energy above the lowest structure with this stoichiometry ... 173 meV/atom

Compound: Zr4Bi3
Source: OQMD
Functional: PBE
Structure: relaxed

```
14
Lattice="8.5803 0.0000 0.0000 -4.2902 7.4308 0.0000 0.0000 0.0000 5.4388" Properties=species:S:1:pos:R:3 pbc="T T T"
Zr -0.6743 1.7187 1.3597
Zr -2.4646 7.1554 1.3597
Zr 1.1513 1.4433 4.0791
Zr 0.0000 4.9538 1.3597
Zr 4.2902 2.4769 4.0791
Zr 3.1389 5.9875 1.3597
Zr 6.7548 0.2754 4.0791
Zr 4.9644 5.7121 4.0791
Bi -1.2774 3.3219 4.0791
Bi -0.7746 6.8761 4.0791
Bi 2.2381 2.7672 1.3597
Bi 2.0520 4.6636 4.0791
Bi 5.0648 0.5547 1.3597
Bi 5.5675 4.1089 1.3597
```

Results
SG ... P6_3/m (176)
E_tot ... -6.803 eV/atom
Energy above the lowest structure with this stoichiometry ... 19 meV/atom

Compound: NbReNiB
Source: OQMD
Functional: PBE
Structure: relaxed

```
4
Lattice="0.0000 2.9144 2.9144 2.9144 0.0000 2.9144 2.9144 2.9144 0.0000" Properties=species:S:1:pos:R:3 pbc="T T T"
Nb 0.0000 0.0000 0.0000
Re 2.9144 2.9144 2.9144
Ni 1.4572 1.4572 1.4572
B 4.3716 4.3716 4.3716
```

Results
SG ... F-43m (216)
E_tot ... -8.513 eV/atom
Energy above the lowest structure with this stoichiometry ... 0 meV/atom

Compound: CoGeMoAu
Source: OQMD
Functional: PBE
Structure: relaxed

```
4
Lattice="0.0000 3.1205 3.1205 3.1205 0.0000 3.1205 3.1205 3.1205 0.0000" Properties=species:S:1:pos:R:3 pbc="T T T"
Co 0.0000 0.0000 0.0000
Ge 4.6807 4.6807 4.6807
Mo 1.5602 1.5602 1.5602
Au 3.1205 3.1205 3.1205
```

Results
SG ... F-43m (216)
E_tot ... -5.942 eV/atom
Energy above the lowest structure with this stoichiometry ... 247 meV/atom

Compound: GaAg
Source: OQMD
Functional: PBE
Structure: relaxed

```
2
Lattice="0.0000 2.9762 2.9762 2.9762 0.0000 2.9762 2.9762 2.9762 0.0000" Properties=species:S:1:pos:R:3 pbc="T T T"
Ga 0.0000 0.0000 0.0000
Ag 1.4881 1.4881 1.4881
```

Results
SG ... F-43m (216)
E_tot ... -2.532 eV/atom

Compound: Ta2ZnOs
Source: OQMD
Functional: PBE
Structure: relaxed

```
4
Lattice="0.0000 3.1825 3.1825 3.1825 0.0000 3.1825 3.1825 3.1825 0.0000" Properties=species:S:1:pos:R:3 pbc="T T T"
Ta 0.0000 0.0000 0.0000
Ta 1.5913 1.5913 1.5913
Zn 4.7738 4.7738 4.7738
Os 3.1825 3.1825 3.1825
```

Results
SG ... F-43m (216)
Formation enthalpy at 0 K ... 107 meV/atom
E_tot ... -8.941 eV/atom

Compound: TlReAg3O4
Source: OQMD
Functional: PBE
Structure: relaxed

```
9
Lattice="5.7493 0.0000 0.0000 0.0000 5.7493 0.0000 0.0000 0.0000 5.7493" Properties=species:S:1:pos:R:3 pbc="T T T"
Tl 0.0000 0.0000 0.0000
Re 2.8746 2.8746 2.8746
Ag 0.0000 2.8746 2.8746
Ag 2.8746 0.0000 2.8746
Ag 2.8746 2.8746 0.0000
O 1.7760 1.7760 1.7760
O 1.7760 3.9733 3.9733
O 3.9733 1.7760 3.9733
O 3.9733 3.9733 1.7760
```

Results
SG ... P-43m (215)
E_tot ... -5.027 eV/atom

Compound: ScBeCd2
Source: OQMD
Functional: PBE
Structure: relaxed

```
4
Lattice="0.0000 3.3004 3.3004 3.3004 0.0000 3.3004 3.3004 3.3004 0.0000" Properties=species:S:1:pos:R:3 pbc="T T T"
Sc 0.0000 0.0000 0.0000
Be 4.9506 4.9506 4.9506
Cd 1.6502 1.6502 1.6502
Cd 3.3004 3.3004 3.3004
```

Results
SG ... F-43m (216)
E_tot ... -2.936 eV/atom

Compound: CsNpAg
Source: OQMD
Functional: PBE
Structure: relaxed

```
3
Lattice="0.0000 4.2330 4.2330 4.2330 0.0000 4.2330 4.2330 4.2330 0.0000" Properties=species:S:1:pos:R:3 pbc="T T T"
Cs 0.0000 0.0000 0.0000
Np 2.1165 2.1165 2.1165
Ag 6.3495 6.3495 6.3495
```

Results
SG ... F-43m (216)
E_tot ... -3.858 eV/atom
Energy above the lowest structure with this stoichiometry ... 492 meV/atom

Compound: Y3Mg3Cd2Cu
Source: OQMD
Functional: PBE
Structure: relaxed

```
9
Lattice="7.6807 0.0000 0.0000 -3.8404 6.6517 0.0000 0.0000 0.0000 4.1924" Properties=species:S:1:pos:R:3 pbc="T T T"
Y -2.3036 3.9899 0.0000
Y 1.5368 2.6618 0.0000
Y 4.6072 0.0000 0.0000
Mg -0.9033 1.5645 2.0962
Mg 1.8066 0.0000 2.0962
Mg 2.9371 5.0872 2.0962
Cd 0.0000 4.4345 2.0962
Cd 3.8404 2.2172 2.0962
Cu 0.0000 0.0000 0.0000
```

Results
SG ... P-62m (189)
E_tot ... -3.536 eV/atom

Compound: SmBrO4
Source: OQMD
Functional: PBE
Structure: relaxed

```
12
Lattice="-3.6568 3.6568 3.3742 3.6568 -3.6568 3.3742 3.6568 3.6568 -3.3742" Properties=species:S:1:pos:R:3 pbc="T T T"
Sm 3.6568 1.8284 0.8436
Sm 0.0000 1.8284 2.5307
Br 3.6568 -1.8284 2.5307
Br 0.0000 5.4852 0.8436
O 3.6568 -0.4946 1.2177
O 3.6568 3.1623 -1.2177
O 1.3339 1.8284 0.4694
O 2.3230 -1.8284 3.8437
O 1.3339 5.4852 -0.4694
O 2.3230 1.8284 2.9048
O 0.0000 0.4946 4.5919
O 0.0000 4.1514 2.1565
```

Results
SG ... I4_1/amd (141)
E_tot ... -5.508 eV/atom

Compound: AcLuO3
Source: OQMD
Functional: PBE
Structure: relaxed

```
10
Lattice="2.9734 1.7167 5.2519 -2.9734 1.7167 5.2519 0.0000 -3.4334 5.2519" Properties=species:S:1:pos:R:3 pbc="T T T"
Ac 0.0000 0.0000 2.0480
Ac 0.0000 0.0000 13.7076
Lu 0.0000 0.0000 5.5118
Lu 0.0000 0.0000 10.2438
O -1.2657 -1.5115 6.4844
O -1.9419 0.3404 9.2713
O -0.6762 1.8519 6.4844
O 0.6762 -1.8519 9.2713
O 1.9419 -0.3404 6.4844
O 1.2657 1.5115 9.2713
```

Results
SG ... R-3 (148)
E_tot ... -8.138 eV/atom

Compound: ZnFe2Co
Source: OQMD
Functional: PBE
Structure: relaxed

```
4
Lattice="0.0000 2.8643 2.8643 2.8643 0.0000 2.8643 2.8643 2.8643 0.0000" Properties=species:S:1:pos:R:3 pbc="T T T"
Zn 0.0000 0.0000 0.0000
Fe 2.8643 2.8643 2.8643
Fe 4.2965 4.2965 4.2965
Co 1.4322 1.4322 1.4322
```

Results
SG ... F-43m (216)
Formation enthalpy at 0 K ... 17 meV/atom
E_tot ... -6.230 eV/atom

Compound: TlHgB2
Source: OQMD
Functional: PBE
Structure: relaxed

```
4
Lattice="0.0000 3.3143 3.3143 3.3143 0.0000 3.3143 3.3143 3.3143 0.0000" Properties=species:S:1:pos:R:3 pbc="T T T"
Tl 0.0000 0.0000 0.0000
Hg 1.6571 1.6571 1.6571
B 3.3143 3.3143 3.3143
B 4.9714 4.9714 4.9714
```

Results
SG ... F-43m (216)
E_tot ... -2.080 eV/atom

Compound: BaCuGe2
Source: OQMD
Functional: PBE
Structure: relaxed

```
4
Lattice="0.0000 3.6065 3.6065 3.6065 0.0000 3.6065 3.6065 3.6065 0.0000" Properties=species:S:1:pos:R:3 pbc="T T T"
Ba 0.0000 0.0000 0.0000
Cu 1.8032 1.8032 1.8032
Ge 3.6065 3.6065 3.6065
Ge 5.4097 5.4097 5.4097
```

Results
SG ... F-43m (216)
E_tot ... -3.596 eV/atom

Compound: MgRe
Source: OQMD
Functional: PBE
Structure: relaxed

```
8
Lattice="2.8588 0.0000 0.0000 0.0000 4.5115 0.0000 0.0000 0.0000 10.5224" Properties=species:S:1:pos:R:3 pbc="T T T"
Mg 0.7147 1.1279 0.7223
Mg 0.7147 3.3836 2.3525
Mg 2.1441 1.1279 8.1699
Mg 2.1441 3.3836 9.8001
Re 0.7147 1.1279 5.7021
Re 0.7147 3.3836 7.1310
Re 2.1441 1.1279 3.3914
Re 2.1441 3.3836 4.8202
```

Results
SG ... Pmmn (59)
E_tot ... -6.710 eV/atom
Energy above the lowest structure with this stoichiometry ... 204 meV/atom